# Zr2CoNi

A geometry-optimized Zr2CoNi structure (PBE, Alexandria).

Cell: 5.186 5.266 5.269 Å, 102.20 101.78 101.87°
Positions (direct):
Ni  0.835  0.322  0.567
Ni  0.165  0.678  0.433
Co  0.827  0.843  0.099
Co  0.173  0.157  0.901
Zr  0.722  0.801  0.569
Zr  0.278  0.199  0.431
Zr  0.282  0.690  0.957
Zr  0.718  0.310  0.043

Properties
SG = No. 2
calculated volume = 16.6 Å³/atom
electronic total energy = -63.17 eV for the cell shown
formation energy from the elements = -0.400 eV/atom

# Zr2CoNi

A geometry-optimized Zr2CoNi structure (PBE, Alexandria).

Cell: 6.445 9.130 4.468 Å, 90.00 90.00 90.00°
Site moments in Bohr magnetons follow the coordinates.
Positions (direct):
Ni  0.000  0.354  0.250  -0.04
Ni  0.000  0.646  0.750  -0.04
Ni  0.500  0.854  0.250  -0.04
Ni  0.500  0.146  0.750  -0.04
Co  0.000  0.876  0.250  0.48
Co  0.000  0.124  0.750  0.48
Co  0.500  0.376  0.250  0.48
Co  0.500  0.624  0.750  0.48
Zr  0.251  0.122  0.250  -0.05
Zr  0.251  0.878  0.750  -0.05
Zr  0.749  0.122  0.250  -0.05
Zr  0.749  0.878  0.750  -0.05
Zr  0.751  0.622  0.250  -0.05
Zr  0.751  0.378  0.750  -0.05
Zr  0.249  0.622  0.250  -0.05
Zr  0.249  0.378  0.750  -0.05

Properties
SG = No. 63
calculated volume = 16.4 Å³/atom
electronic total energy = -124.97 eV for the cell shown
formation energy from the elements = -0.315 eV/atom

# Zr2CoNi

A geometry-optimized Zr2CoNi structure (PBE, Alexandria).

Cell: 6.973 6.973 5.682 Å, 52.15 52.15 90.00°
Positions (direct):
Ni  0.000  0.000  0.000
Ni  0.750  0.250  0.500
Co  0.500  0.500  0.000
Co  0.250  0.750  0.500
Zr  0.617  0.125  0.250
Zr  0.133  0.625  0.250
Zr  0.375  0.383  0.750
Zr  0.875  0.867  0.750

Properties
SG = No. 122
calculated volume = 17.2 Å³/atom
electronic total energy = -59.21 eV for the cell shown
formation energy from the elements = 0.094 eV/atom

# Zr2CoNi9

A geometry-optimized Zr2CoNi9 structure (PBE, Alexandria).

Cell: 3.699 3.699 10.969 Å, 90.00 90.00 90.00°
Site moments in Bohr magnetons follow the coordinates.
Positions (direct):
Zr  0.000  0.000  0.325  -0.01
Zr  0.000  0.000  0.675  -0.01
Co  0.000  0.000  0.000  1.99
Ni  0.500  0.500  0.000  0.57
Ni  0.500  0.500  0.328  0.05
Ni  0.500  0.500  0.672  0.05
Ni  0.500  0.000  0.151  0.38
Ni  0.500  0.000  0.500  0.01
Ni  0.500  0.000  0.849  0.38
Ni  0.000  0.500  0.151  0.38
Ni  0.000  0.500  0.500  0.01
Ni  0.000  0.500  0.849  0.38

Properties
SG = No. 123
calculated volume = 12.5 Å³/atom
electronic total energy = -79.23 eV for the cell shown
formation energy from the elements = -0.250 eV/atom

# ZrCo2Ni2

A geometry-optimized ZrCo2Ni2 structure (PBE, Alexandria).

Cell: 6.960 6.960 2.679 Å, 90.00 90.00 90.00°
Site moments in Bohr magnetons follow the coordinates.
Positions (direct):
Ni  0.172  0.672  0.500  0.54
Ni  0.672  0.828  0.500  0.49
Ni  0.828  0.328  0.500  0.54
Ni  0.328  0.172  0.500  0.49
Co  0.378  0.878  0.000  1.34
Co  0.878  0.622  0.000  1.34
Co  0.622  0.122  0.000  1.34
Co  0.122  0.378  0.000  1.34
Zr  0.000  0.000  0.000  -0.21
Zr  0.500  0.500  0.000  -0.21

Properties
SG = No. 127
calculated volume = 13.0 Å³/atom
electronic total energy = -69.01 eV for the cell shown
formation energy from the elements = -0.037 eV/atom

# Zr2CoNi

A geometry-optimized Zr2CoNi structure (PBE, Alexandria).

Cell: 5.003 5.241 5.304 Å, 78.47 75.67 84.46°
Positions (direct):
Ni  0.754  0.114  0.547
Ni  0.246  0.886  0.453
Co  0.869  0.708  0.866
Co  0.131  0.292  0.134
Zr  0.765  0.666  0.390
Zr  0.235  0.334  0.610
Zr  0.333  0.774  0.967
Zr  0.667  0.226  0.033

Properties
SG = No. 2
calculated volume = 16.5 Å³/atom
electronic total energy = -62.82 eV for the cell shown
formation energy from the elements = -0.356 eV/atom

# Zr5Co2Ni

A geometry-optimized Zr5Co2Ni structure (PBE, Alexandria).

Cell: 6.554 6.554 8.236 Å, 113.45 113.45 90.00°
Positions (direct):
Zr  0.518  0.682  0.701
Zr  0.818  0.982  0.299
Zr  0.000  0.000  0.000
Zr  0.500  0.500  0.000
Zr  0.182  0.018  0.701
Zr  0.682  0.182  0.701
Zr  0.018  0.518  0.701
Zr  0.318  0.818  0.299
Zr  0.982  0.482  0.299
Zr  0.482  0.318  0.299
Co  0.131  0.369  0.000
Co  0.631  0.131  0.000
Co  0.369  0.869  0.000
Co  0.869  0.631  0.000
Ni  0.750  0.750  0.500
Ni  0.250  0.250  0.500

Properties
SG = No. 140
calculated volume = 18.3 Å³/atom
electronic total energy = -129.24 eV for the cell shown
formation energy from the elements = -0.236 eV/atom

# NpCo12

A geometry-optimized NpCo12 structure (PBE, Alexandria).

Cell: 4.670 6.247 6.247 Å, 81.97 68.05 68.05°
Site moments in Bohr magnetons follow the coordinates.
Positions (direct):
Np  0.000  0.000  0.000  -3.71
Co  0.500  0.000  0.500  1.53
Co  0.000  0.000  0.500  1.53
Co  0.500  0.500  0.000  1.53
Co  0.000  0.500  0.000  1.53
Co  0.000  0.645  0.355  1.62
Co  0.000  0.355  0.645  1.62
Co  0.645  0.355  0.355  1.62
Co  0.355  0.645  0.645  1.62
Co  0.500  0.222  0.778  1.52
Co  0.500  0.778  0.222  1.52
Co  0.722  0.778  0.778  1.52
Co  0.278  0.222  0.222  1.52

Properties
SG = No. 139
calculated volume = 12.1 Å³/atom
electronic total energy = -98.27 eV for the cell shown
formation energy from the elements = -0.005 eV/atom

# NpCo4

A geometry-optimized NpCo4 structure (PBE, Alexandria).

Cell: 4.435 4.435 4.435 Å, 90.00 90.00 90.00°
Site moments in Bohr magnetons follow the coordinates.
Positions (direct):
Np  0.500  0.500  0.500  -1.89
Co  0.000  0.000  0.000  2.04
Co  0.500  0.000  0.500  0.26
Co  0.000  0.500  0.500  0.26
Co  0.500  0.500  0.000  0.26

Properties
SG = No. 221
calculated volume = 17.4 Å³/atom
electronic total energy = -33.83 eV for the cell shown
formation energy from the elements = 1.507 eV/atom